1.
This record from the Alexandria database describes crystalline SrZnHPd2 at its relaxed geometry. The functional is PBE.

Values from the calculation:
The value obtained for the energy above the most stable polymorph in this dataset is 0 meV per atom. As for the space-group type: No. 63. The calculation puts the total energy at -3.8929 eV per atom.

```
SrZnHPd2
1.0
-3.2007 -2.1205 1.5039
1.0310 -1.5806 -5.6874
4.5624 -5.2628 2.2896
Sr Zn H Pd
2 2 2 4
Direct
0.4437 0.8873 0.7500 Sr
0.5563 0.1127 0.2500 Sr
0.7200 0.4399 0.7500 Zn
0.2800 0.5601 0.2500 Zn
0.0000 0.0000 0.0000 H
0.0000 0.0000 0.5000 H
0.1590 0.3180 0.9488 Pd
0.8410 0.6820 0.0512 Pd
0.1590 0.3180 0.5512 Pd
0.8410 0.6820 0.4488 Pd
```

***

2.
This record from the Alexandria database describes crystalline Bi4Ir at its relaxed geometry. The functional is PBE.

Values from the calculation:
The value obtained for the energy above the most stable polymorph in this dataset is 80 meV per atom. As for the space-group type: No. 43. The calculation puts the total energy at -4.8073 eV per atom.

```
Bi4Ir
1.0
-0.1957 6.0575 3.2283
-3.7869 -5.0504 2.7029
7.3667 -2.4276 0.9706
Bi Ir
8 2
Direct
0.6898 0.4571 0.6585 Bi
0.7986 0.0313 0.3415 Bi
0.7474 0.0594 0.8648 Bi
0.1946 0.8826 0.1352 Bi
0.3094 0.4974 0.3648 Bi
0.1326 0.9446 0.6352 Bi
0.2813 0.5486 0.8415 Bi
0.7071 0.4398 0.1585 Bi
0.2216 0.2216 0.0000 Ir
0.4716 0.9716 0.5000 Ir
```

***

3.
This record from the Alexandria database describes crystalline Na2SrSbS4 at its relaxed geometry. The functional is PBE.

Values from the calculation:
As for the space-group type: No. 74. The calculation puts the total energy at -4.1363 eV per atom. For the energy relative to the elements, uncorrected, the calculation gives -98.2 kJ/mol of atoms.

```
Na2SrSbS4
1.0
8.1838 -0.0085 -0.1931
-0.0142 8.1837 -0.1931
-4.1602 -4.1631 5.9742
Na Sr Sb S
4 2 2 8
Direct
0.5000 0.0000 0.0000 Na
0.5000 0.0000 0.5000 Na
0.0000 0.0000 0.5000 Na
0.5000 0.5000 0.0000 Na
0.0000 0.5000 0.0000 Sr
0.0000 0.5000 0.5000 Sr
0.5000 0.5000 0.5000 Sb
0.0000 0.0000 0.0000 Sb
0.2329 0.7780 0.0055 S
0.7220 0.2671 0.4945 S
0.2780 0.7329 0.5055 S
0.7671 0.2220 0.9945 S
0.7462 0.7537 0.9748 S
0.7463 0.7538 0.5252 S
0.2537 0.2462 0.4748 S
0.2538 0.2463 0.0252 S
```